Compound: TlSiW2
Source: the Alexandria database
Functional: PBE
Structure: relaxed

```
8
Lattice="-1.985 1.985 9.645 1.985 -1.985 9.645 1.985 1.985 -9.645" Properties=species:S:1:pos:R:3 pbc="T T T"
Tl 0.000 0.000 0.000
Tl 0.000 1.985 4.823
Si 1.985 0.000 4.823
Si 0.000 0.000 9.645
W 0.992 -0.785 7.234
W 1.199 0.992 2.411
W 0.992 2.770 -2.411
W 0.785 0.992 12.057
```

Computed properties:
DFT total energy   -7.4526 eV per atom
ΔE_f (raw)   0.9713 eV per atom


Compound: TlSiW2
Source: the Alexandria database
Functional: PBE
Structure: relaxed

```
4
Lattice="3.119 0.000 0.000 0.000 3.119 0.000 0.000 0.000 7.187" Properties=species:S:1:pos:R:3 pbc="T T T"
Tl 0.000 0.000 0.000
Si 0.000 0.000 3.594
W 1.559 1.559 2.277
W 1.559 1.559 4.910
```

Computed properties:
DFT total energy   -7.9201 eV per atom
ΔE_f (raw)   0.5038 eV per atom


Compound: TlSi2W
Source: the Alexandria database
Functional: PBE
Structure: relaxed

```
4
Lattice="-1.733 2.396 4.165 1.733 -2.396 4.165 1.733 2.396 -4.165" Properties=species:S:1:pos:R:3 pbc="T T T"
Tl 0.000 0.000 0.000
Si 1.733 0.000 2.190
Si 0.000 2.396 1.974
W 0.000 0.000 4.165
```

Computed properties:
DFT total energy   -5.7987 eV per atom
ΔE_f (raw)   0.7426 eV per atom


Compound: TlSiW2
Source: the Alexandria database
Functional: PBE
Structure: relaxed

```
4
Lattice="-1.686 2.403 4.252 1.686 -2.403 4.252 1.686 2.403 -4.252" Properties=species:S:1:pos:R:3 pbc="T T T"
Tl 0.000 0.000 0.000
Si 0.000 0.000 4.252
W 1.686 0.000 2.476
W 0.000 2.403 1.776
```

Computed properties:
DFT total energy   -7.7220 eV per atom
ΔE_f (raw)   0.7019 eV per atom


Compound: Tl3SiW
Source: the Alexandria database
Functional: PBE
Structure: relaxed

```
5
Lattice="5.386 0.000 0.000 0.000 5.386 0.000 0.000 0.000 5.386" Properties=species:S:1:pos:R:3 pbc="T T T"
Tl 0.000 0.000 2.693
Tl 0.000 2.693 0.000
Tl 2.693 0.000 0.000
Si 2.693 2.693 2.693
W 0.000 0.000 0.000
```

Computed properties:
DFT total energy   -3.8035 eV per atom
ΔE_f (raw)   1.2915 eV per atom


Compound: TlSi2W
Source: the Alexandria database
Functional: PBE
Structure: relaxed

```
8
Lattice="-3.013 3.013 5.829 3.013 -3.013 5.829 3.013 3.013 -5.829" Properties=species:S:1:pos:R:3 pbc="T T T"
Tl 0.000 0.000 0.000
Tl 0.000 3.013 2.914
Si 1.506 -1.164 4.371
Si 1.848 1.506 1.457
Si 1.506 4.177 -1.457
Si 1.164 1.506 7.286
W 3.013 0.000 2.914
W 0.000 0.000 5.829
```

Computed properties:
DFT total energy   -5.5909 eV per atom
ΔE_f (raw)   0.9505 eV per atom


Compound: TlSi2W
Source: the Alexandria database
Functional: PBE
Structure: relaxed

```
4
Lattice="3.467 0.000 0.000 0.000 4.323 0.000 -1.726 0.000 4.835" Properties=species:S:1:pos:R:3 pbc="T T T"
Tl 0.000 0.000 0.000
Si 0.003 2.162 2.966
Si 1.738 0.000 2.266
W 1.734 2.162 1.030
```

Computed properties:
DFT total energy   -6.0349 eV per atom
ΔE_f (raw)   0.5064 eV per atom


Compound: TlSi2W
Source: the Alexandria database
Functional: PBE
Structure: relaxed

```
4
Lattice="1.765 -2.281 0.000 1.765 2.281 0.000 0.000 0.000 9.753" Properties=species:S:1:pos:R:3 pbc="T T T"
Tl 0.000 0.000 0.000
Si 1.765 0.000 3.003
Si 1.765 0.000 6.750
W 0.000 0.000 4.876
```

Computed properties:
DFT total energy   -6.1211 eV per atom
ΔE_f (raw)   0.4203 eV per atom


Compound: TlSiW2
Source: the Alexandria database
Functional: PBE
Structure: relaxed

```
4
Lattice="1.638 -2.330 0.000 1.638 2.330 0.000 0.000 0.000 10.070" Properties=species:S:1:pos:R:3 pbc="T T T"
Tl 0.000 0.000 0.000
Si 1.638 0.000 3.179
W 0.000 0.000 5.198
W 1.638 0.000 7.310
```

Computed properties:
DFT total energy   -7.8696 eV per atom
ΔE_f (raw)   0.5543 eV per atom


Compound: TlSiW2
Source: the Alexandria database
Functional: PBE
Structure: relaxed

```
4
Lattice="0.000 3.218 3.218 3.218 0.000 3.218 3.218 3.218 0.000" Properties=species:S:1:pos:R:3 pbc="T T T"
Tl 0.000 0.000 0.000
Si 3.218 3.218 3.218
W 1.609 1.609 1.609
W 4.827 4.827 4.827
```

Computed properties:
DFT total energy   -7.5134 eV per atom
ΔE_f (raw)   0.9105 eV per atom


Compound: TlSi2W
Source: the Alexandria database
Functional: PBE
Structure: relaxed

```
4
Lattice="-1.662 2.374 4.318 1.662 -2.374 4.318 1.662 2.374 -4.318" Properties=species:S:1:pos:R:3 pbc="T T T"
Tl 0.000 0.000 0.000
Si 0.000 0.000 4.468
Si 0.000 2.374 2.009
W 1.662 0.000 2.453
```

Computed properties:
DFT total energy   -5.7975 eV per atom
ΔE_f (raw)   0.7439 eV per atom


Compound: TlSiW2
Source: the Alexandria database
Functional: PBE
Structure: relaxed

```
4
Lattice="4.511 -1.651 0.000 4.511 1.651 0.000 -0.365 0.000 5.006" Properties=species:S:1:pos:R:3 pbc="T T T"
Tl 0.000 0.000 0.000
Si 4.328 0.000 2.503
W 2.051 0.000 3.452
W 6.605 0.000 1.554
```

Computed properties:
DFT total energy   -7.7566 eV per atom
ΔE_f (raw)   0.6673 eV per atom


Which total magnetic moment belongs to each record? In order, 0.000 0.000 0.000 0.000 0.000 0.000 0.000 0.000 0.000 0.000 0.000 0.000 μB per cell.
Which polymorph energy (0 for the lowest one) belongs to each record? In order, 551 83 449 281 0 657 213 127 134 490 451 247 meV per atom.